LiCd2H PBE-GGA optimized geometry; total magnetic moment = 0.0 μB/f.u.; calculated density = 5.709 g cm⁻³; energy above the lowest structure with this stoichiometry = 0 meV per atom
1.0
-0.060 0.446 7.154
0.564 -7.132 0.449
2.879 -3.135 3.811
Cd H Li
4 2 2
direct
0.875 0.796 0.750 Cd
0.204 0.625 0.250 Cd
0.546 0.125 0.250 Cd
0.375 0.454 0.750 Cd
0.250 0.750 0.500 H
0.500 0.500 0.000 H
0.000 0.000 0.000 Li
0.750 0.250 0.500 Li